Compound: TbNdSeS
Source: Alexandria via LeMat-Bulk
Functional: PBE
Structure: relaxed

Lattice parameters (Å, degrees): 7.140 7.140 7.140 33.06 33.06 33.06
Sites, in units of the cell vectors:
Tb: 0.000 0.000 0.000
Nd: 0.484 0.484 0.484
Se: 0.246 0.246 0.246
S: 0.737 0.737 0.737

Output
Its total moment is 0.00 μB/f.u. For the electronic total energy, the calculation gives -6.179 eV/atom. Its space group is R3m (160). The uncorrected formation energy comes out at -1.927 eV per atom. For the volume, the calculation gives 96.43 Å³ per cell.

=====

Compound: Nd6Te3Se2S
Source: Alexandria via LeMat-Bulk
Functional: PBE
Structure: relaxed

Lattice parameters (Å, degrees): 7.473 7.473 7.615 99.38 99.38 120.07
Sites, in units of the cell vectors:
Nd: 0.071 0.387 0.213
Nd: 0.245 0.245 0.783
Nd: 0.387 0.071 0.213
Nd: 0.613 0.929 0.787
Nd: 0.755 0.755 0.217
Nd: 0.929 0.613 0.787
Te: 0.171 0.829 0.500
Te: 0.500 0.500 0.500
Te: 0.829 0.171 0.500
Se: 0.334 0.666 0.000
Se: 0.666 0.334 0.000
S: 0.000 0.000 0.000

Output
Its total moment is 0.00 μB/f.u. For the electronic total energy, the calculation gives -5.773 eV/atom. Its space group is C2/m (12). The uncorrected formation energy comes out at -1.679 eV per atom. For the volume, the calculation gives 347.91 Å³ per cell.

=====

Compound: Nd8Te4Se3S
Source: Alexandria via LeMat-Bulk
Functional: PBE
Structure: relaxed

Lattice parameters (Å, degrees): 8.749 8.749 8.749 59.32 59.32 59.32
Sites, in units of the cell vectors:
Nd: 0.239 0.239 0.239
Nd: 0.251 0.731 0.731
Nd: 0.269 0.269 0.749
Nd: 0.269 0.749 0.269
Nd: 0.731 0.251 0.731
Nd: 0.731 0.731 0.251
Nd: 0.749 0.269 0.269
Nd: 0.761 0.761 0.761
Te: 0.000 0.000 0.000
Te: 0.000 0.500 0.500
Te: 0.500 0.000 0.500
Te: 0.500 0.500 0.000
Se: 0.000 0.000 0.500
Se: 0.000 0.500 0.000
Se: 0.500 0.000 0.000
S: 0.500 0.500 0.500

Output
Its total moment is 0.00 μB/f.u. For the electronic total energy, the calculation gives -5.747 eV/atom. Its space group is R-3m (166). The uncorrected formation energy comes out at -1.667 eV per atom. For the volume, the calculation gives 466.26 Å³ per cell.

=====

Compound: Nd8Te3Se3S
Source: Alexandria via LeMat-Bulk
Functional: PBE
Structure: relaxed

Lattice parameters (Å, degrees): 8.709 8.709 8.709 59.17 59.17 59.17
Sites, in units of the cell vectors:
Nd: 0.239 0.239 0.239
Nd: 0.253 0.731 0.731
Nd: 0.269 0.269 0.747
Nd: 0.269 0.747 0.269
Nd: 0.731 0.253 0.731
Nd: 0.731 0.731 0.253
Nd: 0.747 0.269 0.269
Nd: 0.761 0.761 0.761
Te: 0.000 0.500 0.500
Te: 0.500 0.000 0.500
Te: 0.500 0.500 0.000
Se: 0.000 0.000 0.500
Se: 0.000 0.500 0.000
Se: 0.500 0.000 0.000
S: 0.500 0.500 0.500

Output
Its total moment is 0.00 μB/f.u. For the electronic total energy, the calculation gives -5.692 eV/atom. Its space group is R-3m (166). The uncorrected formation energy comes out at -1.549 eV per atom. For the volume, the calculation gives 458.22 Å³ per cell.

=====

Compound: Nd6Te3SeS2
Source: Alexandria via LeMat-Bulk
Functional: PBE
Structure: relaxed

Lattice parameters (Å, degrees): 7.407 7.407 7.594 99.34 99.34 120.05
Sites, in units of the cell vectors:
Nd: 0.084 0.430 0.789
Nd: 0.224 0.224 0.208
Nd: 0.430 0.084 0.789
Nd: 0.570 0.916 0.211
Nd: 0.776 0.776 0.792
Nd: 0.916 0.570 0.211
Te: 0.000 0.000 0.500
Te: 0.337 0.663 0.500
Te: 0.663 0.337 0.500
Se: 0.500 0.500 0.000
S: 0.167 0.833 0.000
S: 0.833 0.167 0.000

Output
Its total moment is 0.00 μB/f.u. For the electronic total energy, the calculation gives -5.856 eV/atom. Its space group is C2/m (12). The uncorrected formation energy comes out at -1.708 eV per atom. For the volume, the calculation gives 341.06 Å³ per cell.

=====

Compound: Nd8Te4SeS3
Source: Alexandria via LeMat-Bulk
Functional: PBE
Structure: relaxed

Lattice parameters (Å, degrees): 8.700 8.700 8.700 58.81 58.81 58.81
Sites, in units of the cell vectors:
Nd: 0.227 0.741 0.741
Nd: 0.235 0.235 0.235
Nd: 0.259 0.259 0.773
Nd: 0.259 0.773 0.259
Nd: 0.741 0.227 0.741
Nd: 0.741 0.741 0.227
Nd: 0.765 0.765 0.765
Nd: 0.773 0.259 0.259
Te: 0.000 0.000 0.000
Te: 0.000 0.500 0.500
Te: 0.500 0.000 0.500
Te: 0.500 0.500 0.000
Se: 0.500 0.500 0.500
S: 0.000 0.000 0.500
S: 0.000 0.500 0.000
S: 0.500 0.000 0.000

Output
Its total moment is 0.00 μB/f.u. For the electronic total energy, the calculation gives -5.874 eV/atom. Its space group is R-3m (166). The uncorrected formation energy comes out at -1.713 eV per atom. For the volume, the calculation gives 453.01 Å³ per cell.